[1]
{
  "formula": "CrCuOs2",
  "functional": "PBE",
  "state": "optimized geometry",
  "lattice": [[8.7985, 0.0177, 0.0104], [8.3872, 2.6587, 0.0104], [8.3872, 1.3062, 2.3157]],
  "species": ["Cr", "Cu", "Os", "Os"],
  "fractional_positions": [[0.2500, 0.2500, 0.2500], [0.7500, 0.7500, 0.7500], [0.9969, 0.9969, 0.9969], [0.5031, 0.5031, 0.5031]],
  "energy_ev_per_atom": -8.89,
  "de_polymorph_ev_per_atom": 0.000,
  "magnetic_moment_mub_per_cell": 0.00,
  "ef_ev_per_atom": 0.16
}

[2]
{
  "formula": "YHoCdOs",
  "functional": "PBE",
  "state": "optimized geometry",
  "lattice": [[-1.6268, -3.0392, -0.1472], [0.2053, -0.2761, 3.4331], [-6.8151, 3.6141, 0.6982]],
  "species": ["Y", "Ho", "Cd", "Os"],
  "fractional_positions": [[0.5000, 0.5000, 0.7849], [0.5000, 0.5000, 0.3581], [0.0000, 0.0000, 0.0734], [0.0000, 0.0000, 0.5682]],
  "energy_ev_per_atom": -6.11,
  "de_polymorph_ev_per_atom": 0.000,
  "magnetic_moment_mub_per_cell": 0.00,
  "ef_ev_per_atom": -0.31
}

[3]
{
  "formula": "Tl8GaTe6",
  "functional": "PBE",
  "state": "optimized geometry",
  "lattice": [[-8.0323, 4.4811, -4.3216], [-4.2775, -8.0256, -0.3715], [-4.7066, 2.0073, 10.8294]],
  "species": ["Tl", "Tl", "Tl", "Tl", "Tl", "Tl", "Tl", "Tl", "Tl", "Tl", "Tl", "Tl", "Tl", "Tl", "Tl", "Tl", "Ga", "Ga", "Te", "Te", "Te", "Te", "Te", "Te", "Te", "Te", "Te", "Te", "Te", "Te"],
  "fractional_positions": [[0.3476, 0.0000, 0.9137], [0.6524, 0.5000, 0.4137], [0.9471, 0.7886, 0.1336], [0.0529, 0.7114, 0.6336], [0.0529, 0.2886, 0.6336], [0.9471, 0.2114, 0.1336], [0.4353, 0.7483, 0.6909], [0.5647, 0.7517, 0.1909], [0.5647, 0.2483, 0.1909], [0.4353, 0.2517, 0.6909], [0.8118, 0.7796, 0.8574], [0.1882, 0.7204, 0.3574], [0.1882, 0.2796, 0.3574], [0.8118, 0.2204, 0.8574], [0.2471, 0.0000, 0.5461], [0.7529, 0.5000, 0.0461], [0.7302, 0.0000, 0.4764], [0.2698, 0.5000, 0.9764], [0.6540, 0.0000, 0.0215], [0.3460, 0.5000, 0.5215], [0.0463, 0.0000, 0.8019], [0.9537, 0.5000, 0.3019], [0.9514, 0.0000, 0.3541], [0.0486, 0.5000, 0.8541], [0.5013, 0.0000, 0.3673], [0.4987, 0.5000, 0.8673], [0.2699, 0.7486, 0.0956], [0.7301, 0.7514, 0.5956], [0.7301, 0.2486, 0.5956], [0.2699, 0.2514, 0.0956]],
  "energy_ev_per_atom": -2.96,
  "magnetic_moment_mub_per_cell": 0.00,
  "raw_formation_energy_kcal_per_mol_atoms": -5.53
}